## PaV2InO8 (PBE+U)

Data for an optimized crystal structure of PaV2InO8.

extended XYZ file:
```
12
Lattice="-2.549 2.549 5.528 2.549 -2.549 5.528 2.549 2.549 -5.528" Properties=species:S:1:pos:R:3 pbc="T T T"
Pa 0.000 0.000 0.000
V 0.000 0.000 5.528
V 0.000 2.549 2.764
In 2.549 0.000 2.764
O 1.221 0.913 -1.851
O 1.334 -0.915 4.646
O 1.634 1.215 0.883
O 1.636 -1.328 7.379
O 1.215 3.464 -0.883
O 1.328 1.636 3.678
O 0.915 1.334 6.411
O 0.913 3.877 1.851
```

Results
space group	I-4, No. 82
VASP energy	-7.8533	eV/atom